[1]
Compound: Pa6GaTc8
Source: Alexandria
Functional: PBE-GGA
Structure: relaxed

Computed properties:
Formation energy: 1.71 eV per formula unit
Final energy: -9.414 eV per atom
Magnetic moment: 0.00 μB/cell
Density: 11.3 Mg/m³

Cell lengths 10.5553, 10.5553, 3.4030 Å; angles 90.00, 90.00, 120.00 degrees
Space group P-3 (No. 147)
Symmetry-distinct sites (fractional):
Pa 0.1462 0.7069 0.2628
Ga 0.0000 0.0000 0.5000
Tc 0.0326 0.7879 0.7585
Tc 0.3333 0.6667 0.7681

=====

[2]
Compound: Pa3Ga9Tc2
Source: Alexandria
Functional: PBE-GGA
Structure: relaxed

Computed properties:
Formation energy: -4.91 eV per formula unit
Final energy: -5.812 eV per atom
Magnetic moment: 0.00 μB/cell
Density: 9.9 Mg/m³

Cell lengths 4.424, 9.414, 12.249 Å; angles 90.00, 90.00, 90.00 degrees
Space group Immm (No. 71)
Symmetry-distinct sites (fractional):
Pa 0.000 0.000 0.000
Pa 0.000 0.000 0.303
Ga 0.000 0.280 0.132
Ga 0.000 0.364 0.348
Ga 0.000 0.500 0.000
Tc 0.000 0.169 0.500

=====

[3]
Compound: PaGaTc
Source: Alexandria
Functional: PBE-GGA
Structure: relaxed

Computed properties:
Formation energy: -1.25 eV per formula unit
Final energy: -8.047 eV per atom
Magnetic moment: 0.00 μB/cell
Density: 11.3 Mg/m³

Cell lengths 6.984, 4.783, 7.008 Å; angles 90.00, 90.00, 90.00 degrees
Space group Pnma (No. 62)
Symmetry-distinct sites (fractional):
Pa 0.026 0.250 0.197
Ga 0.208 0.250 0.620
Tc 0.160 0.750 0.476

=====

[4]
Compound: Pa2GaTc
Source: Alexandria
Functional: PBE-GGA
Structure: relaxed

Computed properties:
Formation energy: -1.03 eV per formula unit
Final energy: -8.353 eV per atom
Magnetic moment: 0.00 μB/cell
Density: 13.0 Mg/m³

Cell lengths 4.392, 4.392, 4.180 Å; angles 90.00, 90.00, 90.00 degrees
Space group P4/mmm (No. 123)
Symmetry-distinct sites (fractional):
Pa 0.000 0.500 0.000
Ga 0.000 0.000 0.500
Tc 0.500 0.500 0.500

=====

[5]
Compound: PaGa3Tc
Source: Alexandria
Functional: PBE-GGA
Structure: relaxed

Computed properties:
Formation energy: -1.35 eV per formula unit
Final energy: -6.059 eV per atom
Magnetic moment: 0.00 μB/cell
Density: 9.4 Mg/m³

Cell lengths 8.156, 5.954, 9.713 Å; angles 90.00, 126.09, 90.00 degrees
Space group P2_1/c (No. 14)
Symmetry-distinct sites (fractional):
Pa 0.182 0.199 0.299
Ga 0.131 0.664 0.111
Ga 0.325 0.722 0.453
Ga 0.473 0.098 0.693
Tc 0.195 0.091 0.054

=====

[6]
Compound: Pa6GaTc
Source: Alexandria
Functional: PBE-GGA
Structure: relaxed

Computed properties:
Formation energy: 1.45 eV per formula unit
Final energy: -8.615 eV per atom
Magnetic moment: 0.00 μB/cell
Density: 12.7 Mg/m³

Cell lengths 8.016, 6.512, 8.610 Å; angles 90.00, 115.11, 90.00 degrees
Space group C2/m (No. 12)
Symmetry-distinct sites (fractional):
Pa 0.141 0.217 0.314
Pa 0.169 0.500 0.995
Ga 0.000 0.500 0.500
Tc 0.000 0.000 0.000

=====

- Which value of final energy does entry 4 give?
  -8.353 eV per atom

=====

- Look up the formation energy of the first one.
  1.71 eV per formula unit

=====

Copy entry 2 word for word.
Compound: Pa3Ga9Tc2
Source: Alexandria
Functional: PBE-GGA
Structure: relaxed

Computed properties:
Formation energy: -4.91 eV per formula unit
Final energy: -5.812 eV per atom
Magnetic moment: 0.00 μB/cell
Density: 9.9 Mg/m³

Cell lengths 4.424, 9.414, 12.249 Å; angles 90.00, 90.00, 90.00 degrees
Space group Immm (No. 71)
Symmetry-distinct sites (fractional):
Pa 0.000 0.000 0.000
Pa 0.000 0.000 0.303
Ga 0.000 0.280 0.132
Ga 0.000 0.364 0.348
Ga 0.000 0.500 0.000
Tc 0.000 0.169 0.500

=====

Repeat the sixth record exactly.
Compound: Pa6GaTc
Source: Alexandria
Functional: PBE-GGA
Structure: relaxed

Computed properties:
Formation energy: 1.45 eV per formula unit
Final energy: -8.615 eV per atom
Magnetic moment: 0.00 μB/cell
Density: 12.7 Mg/m³

Cell lengths 8.016, 6.512, 8.610 Å; angles 90.00, 115.11, 90.00 degrees
Space group C2/m (No. 12)
Symmetry-distinct sites (fractional):
Pa 0.141 0.217 0.314
Pa 0.169 0.500 0.995
Ga 0.000 0.500 0.500
Tc 0.000 0.000 0.000